No. 1
Material: MnZn3
Method: DFT, GGA-PBEsol
State: relaxed

Computed properties:
The value obtained for the total magnetic moment is 2.95 μB/f.u. As for the calculated formation energy: 0.0159 eV per atom.

a b c (Å): 5.3524 5.3524 4.2589
angles (deg): 90.00 90.00 120.00
Space group P6_3/mmc (No. 194)
Asymmetric unit:
Mn 0.3333 0.6667 0.2500 (multiplicity 2)
Zn 0.1681 0.3362 0.7500 (multiplicity 6)

No. 2
Material: Mn3Zn
Method: DFT, GGA-PBEsol
State: relaxed

Computed properties:
The value obtained for the total magnetic moment is 2.71 μB/f.u. As for the calculated formation energy: 0.1111 eV per atom.

a b c (Å): 2.6112 2.6112 6.7760
angles (deg): 90.00 90.00 90.00
Space group P4/mmm (No. 123)
Asymmetric unit:
Mn 0.0000 0.0000 0.0000 (multiplicity 1)
Mn 0.5000 0.5000 0.2308 (multiplicity 2)
Zn 0.0000 0.0000 0.5000 (multiplicity 1)

No. 3
Material: MnZn3
Method: DFT, GGA-PBEsol
State: relaxed

Computed properties:
The value obtained for the total magnetic moment is 2.33 μB/f.u. As for the calculated formation energy: 0.0004 eV per atom.

a b c (Å): 3.7277 3.7277 3.7277
angles (deg): 90.00 90.00 90.00
Space group Pm-3m (No. 221)
Asymmetric unit:
Mn 0.0000 0.0000 0.0000 (multiplicity 1)
Zn 0.0000 0.5000 0.5000 (multiplicity 3)